{"formula": "VO2F", "functional": "GGA+U", "state": "relaxed", "cell": [[-3.783, -1.216, -3.584], [-3.914, -3.306, 1.389], [-6.925, 10.212, 3.587]], "species": ["F", "F", "F", "F", "F", "F", "O", "O", "O", "O", "O", "O", "O", "O", "O", "O", "O", "O", "V", "V", "V", "V", "V", "V"], "frac_coords": [[0.880, 0.820, 0.106], [0.226, 0.671, 0.418], [0.156, 0.126, 0.894], [0.476, 0.991, 0.251], [0.535, 0.508, 0.770], [0.820, 0.820, 0.563], [0.715, 0.164, 0.400], [0.048, 0.486, 0.734], [0.982, 0.498, 0.272], [0.302, 0.856, 0.606], [0.791, 0.348, 0.584], [0.205, 0.182, 0.435], [0.392, 0.798, 0.066], [0.560, 0.998, 0.751], [0.483, 0.480, 0.232], [0.901, 0.306, 0.084], [0.147, 0.637, 0.921], [0.657, 0.144, 0.940], [0.952, 0.077, 0.493], [0.286, 0.350, 0.333], [0.286, 0.368, 0.826], [0.610, 0.728, 0.663], [0.630, 0.634, 0.157], [0.961, 0.011, 0.000]], "vol_a3_per_cell": 318, "density_g_cm3": 3.2, "energy_ev_per_atom": -6.7891}